[1]
Li2Y2In2AgAu PBE-GGA relaxed; total magnetic moment = 0.00 μB/cell; crystal system = tetragonal; SG = P-4m2, No. 115; total energy = -4.06 eV per atom
1.0
-0.072 0.592 -4.825
-4.705 -1.222 -0.080
-1.731 6.609 0.836
Ag Au In Li Y
1 1 2 2 2
Direct
0.000 0.000 0.000
0.500 0.500 0.500
0.500 0.000 0.247
0.000 0.500 0.753
0.500 0.500 0.000
0.000 0.000 0.500
0.000 0.500 0.254
0.500 0.000 0.746

[2]
ZnBi2Pd PBE-GGA relaxed; crystal system = cubic; SG = F-43m, No. 216; total energy = -3.51 eV per atom
1.0
0.000 3.628 3.628
3.628 0.000 3.628
3.628 3.628 0.000
Bi Pd Zn
2 1 1
Direct
0.000 0.000 0.000
0.250 0.250 0.250
0.750 0.750 0.750
0.500 0.500 0.500

[3]
NdCdPt PBE-GGA relaxed; calculated formation energy = -0.735 eV per atom; total magnetic moment = 0.00 μB/cell; crystal system = cubic; SG = F-43m, No. 216
1.0
0.000 3.402 3.402
3.402 0.000 3.402
3.402 3.402 0.000
Cd Nd Pt
1 1 1
Direct
0.250 0.250 0.250
0.750 0.750 0.750
0.000 0.000 0.000

[4]
InHg3MoSe4 PBE-GGA relaxed; total magnetic moment = 0.00 μB/cell; crystal system = cubic; SG = P-43m, No. 215; total energy = -3.10 eV per atom
1.0
-5.837 -2.192 3.476
3.970 -4.566 3.787
1.060 5.030 4.953
Hg In Mo Se
3 1 1 4
Direct
0.500 0.500 0.000
0.500 0.000 0.500
0.000 0.500 0.500
0.000 0.000 0.000
0.500 0.500 0.500
0.307 0.307 0.307
0.693 0.693 0.307
0.693 0.307 0.693
0.307 0.693 0.693

[5]
FeCoMo4C2 PBE-GGA relaxed; total magnetic moment = 2.36 μB/cell; crystal system = hexagonal; SG = P-6m2, No. 187; total energy = -9.49 eV per atom
1.0
-1.207 -2.661 -0.676
2.432 0.143 1.750
-7.473 0.769 10.320
C Co Fe Mo
2 1 1 4
Direct
0.000 0.000 0.250
0.000 0.000 0.750
0.333 0.667 0.000
0.667 0.333 0.500
0.667 0.333 0.156
0.333 0.667 0.344
0.333 0.667 0.656
0.667 0.333 0.844

[6]
LiDyZnO3 PBE-GGA relaxed; total magnetic moment = 0.00 μB/cell; crystal system = monoclinic; SG = C2/m, No. 12; total energy = -6.06 eV per atom
1.0
3.194 0.000 0.000
0.000 6.440 0.000
1.597 1.440 6.622
Dy Li O Zn
2 2 6 2
Direct
0.000 0.000 0.000
0.000 0.500 0.000
0.318 0.642 0.364
0.682 0.358 0.636
0.487 0.742 0.026
0.836 0.947 0.328
0.832 0.398 0.337
0.168 0.602 0.663
0.164 0.053 0.672
0.513 0.258 0.974
0.313 0.171 0.374
0.687 0.829 0.626